Record 1
A plane-wave DFT calculation with PBE was carried out for an optimized crystal structure of Co5Rh3.

extended XYZ file:
```
16
Lattice="7.305 0.001 0.000 -3.654 6.322 0.000 0.000 0.000 4.533" Properties=species:S:1:pos:R:3 pbc="T T T"
Co 4.369 5.079 3.400
Co 2.934 5.079 1.133
Co 1.436 0.000 1.133
Co -0.718 1.243 1.133
Co 3.652 2.108 2.267
Co 0.718 1.244 3.400
Co -0.001 4.214 0.000
Co 2.215 6.322 3.400
Co 3.652 2.108 4.533
Co -0.001 4.214 2.267
Rh 5.836 2.541 3.400
Rh -0.719 6.322 3.400
Rh -2.185 3.781 1.133
Rh 1.468 2.541 1.133
Rh 4.370 0.001 1.133
Rh 2.183 3.781 3.400
```

Properties
- energy above the most stable polymorph in this dataset (eV per atom) = 0.189
- M_tot (μB per cell) = 23.41
- N(E_F) (states/eV per cell) = 22.1
- symmetry = No. 193
- total DFT energy (no corrections) (eV/atom) = -6.946

=====

Record 2
A plane-wave DFT calculation with PBE was carried out for an optimized crystal structure of Co5Rh3.

extended XYZ file:
```
8
Lattice="3.664 0.000 0.000 0.000 3.664 0.000 -1.832 -1.832 7.372" Properties=species:S:1:pos:R:3 pbc="T T T"
Co 1.832 0.000 0.003
Co 1.832 0.000 7.369
Co 0.000 0.000 5.600
Co 1.832 1.832 1.772
Co 1.832 0.000 3.686
Rh 0.000 0.000 1.786
Rh 1.832 1.832 5.586
Rh 0.000 1.832 3.686
```

Properties
- energy above the most stable polymorph in this dataset (eV per atom) = 0.000
- M_tot (μB per cell) = 10.25
- N(E_F) (states/eV per cell) = 12.8
- symmetry = No. 119
- total DFT energy (no corrections) (eV/atom) = -7.135

=====

Record 3
A plane-wave DFT calculation with PBE was carried out for an optimized crystal structure of CoRh3.

extended XYZ file:
```
8
Lattice="3.764 0.000 0.000 0.000 7.110 -2.465 0.000 -2.307 4.833" Properties=species:S:1:pos:R:3 pbc="T T T"
Rh 2.823 2.677 2.101
Rh 0.941 4.486 1.451
Rh 2.823 0.318 0.916
Rh 2.823 -0.802 3.308
Rh 0.941 2.126 0.266
Rh 0.941 5.605 -0.940
Co 0.941 0.949 2.737
Co 2.823 3.854 -0.369
```

Properties
- M_tot (μB per cell) = 4.10
- N(E_F) (states/eV per cell) = 12.4
- symmetry = No. 63
- total DFT energy (no corrections) (eV/atom) = -7.236

=====

Record 4
A plane-wave DFT calculation with PBE was carried out for an optimized crystal structure of Co3Rh.

extended XYZ file:
```
4
Lattice="2.603 0.000 0.000 0.000 4.127 0.000 0.000 0.000 4.445" Properties=species:S:1:pos:R:3 pbc="T T T"
Co 0.000 0.000 4.394
Co 1.301 2.063 3.709
Co 1.301 0.000 2.260
Rh 0.000 2.063 1.491
```

Properties
- M_tot (μB per cell) = 5.79
- N(E_F) (states/eV per cell) = 3.8
- symmetry = No. 25
- total DFT energy (no corrections) (eV/atom) = -7.137

=====

Record 5
A plane-wave DFT calculation with PBE was carried out for an optimized crystal structure of Co5Rh6.

extended XYZ file:
```
11
Lattice="3.745 0.935 -0.958 1.717 6.371 -3.584 -0.229 -0.492 6.882" Properties=species:S:1:pos:R:3 pbc="T T T"
Co 1.051 4.007 -0.239
Co 2.127 1.557 1.578
Co 2.731 3.653 -2.271
Co 0.438 1.872 3.537
Co 3.106 5.258 0.761
Rh 1.447 1.605 -1.028
Rh 2.350 6.023 -1.454
Rh 4.016 5.702 -3.514
Rh 2.884 0.792 3.793
Rh 1.734 3.877 2.303
Rh 3.499 2.938 0.037
```

Properties
- M_tot (μB per cell) = 12.79
- N(E_F) (states/eV per cell) = 16.7
- symmetry = No. 71
- total DFT energy (no corrections) (eV/atom) = -7.065

=====

Record 6
A plane-wave DFT calculation with PBE was carried out for an optimized crystal structure of Co4Rh.

extended XYZ file:
```
5
Lattice="8.922 -0.017 0.017 -0.372 2.566 0.000 0.372 0.054 2.565" Properties=species:S:1:pos:R:3 pbc="T T T"
Co 4.997 2.034 0.543
Co 3.753 0.544 2.065
Co 1.749 1.563 1.024
Co 0.505 0.073 2.545
Rh 7.212 1.045 1.553
```

Properties
- energy above the most stable polymorph in this dataset (eV per atom) = 0.013
- M_tot (μB per cell) = 7.48
- N(E_F) (states/eV per cell) = 6.9
- symmetry = No. 139
- total DFT energy (no corrections) (eV/atom) = -7.102

=====

Record 7
A plane-wave DFT calculation with PBE was carried out for an optimized crystal structure of Co4Rh.

extended XYZ file:
```
5
Lattice="2.912 0.000 0.000 -1.456 7.135 -0.012 0.000 0.599 2.850" Properties=species:S:1:pos:R:3 pbc="T T T"
Co 0.000 0.788 2.810
Co 0.000 3.301 2.282
Co 1.456 1.699 1.131
Co 1.456 4.212 0.602
Rh 0.000 6.068 1.700
```

Properties
- energy above the most stable polymorph in this dataset (eV per atom) = 0.059
- M_tot (μB per cell) = 8.01
- N(E_F) (states/eV per cell) = 5.3
- symmetry = No. 139
- total DFT energy (no corrections) (eV/atom) = -7.056

=====

Record 8
A plane-wave DFT calculation with PBE was carried out for an optimized crystal structure of Co2Rh.

extended XYZ file:
```
6
Lattice="-1.312 1.180 -3.212 4.078 -1.838 -0.250 -3.415 -3.908 -0.042" Properties=species:S:1:pos:R:3 pbc="T T T"
Co -0.001 -1.745 -0.641
Co -0.648 -2.821 -2.862
Co -2.363 -1.364 -1.627
Co -0.656 0.590 -1.606
Rh 1.066 -0.945 -2.873
Rh -1.715 -3.622 -0.630
```

Properties
- M_tot (μB per cell) = 8.61
- N(E_F) (states/eV per cell) = 9.3
- symmetry = No. 12
- total DFT energy (no corrections) (eV/atom) = -7.125

=====

Record 9
A plane-wave DFT calculation with PBE was carried out for an optimized crystal structure of CoRh3.

extended XYZ file:
```
4
Lattice="-1.243 2.178 3.893 -0.948 -0.418 4.513 6.774 -1.194 -8.218" Properties=species:S:1:pos:R:3 pbc="T T T"
Rh 5.099 -0.887 -6.138
Rh 3.387 -0.597 -4.109
Rh -0.516 1.453 6.326
Co 0.000 0.000 0.000
```

Properties
- M_tot (μB per cell) = 2.28
- N(E_F) (states/eV per cell) = 5.4
- symmetry = No. 12
- total DFT energy (no corrections) (eV/atom) = -7.238

=====

Record 10
A plane-wave DFT calculation with PBE was carried out for an optimized crystal structure of CoRh3.

extended XYZ file:
```
4
Lattice="-2.281 -0.442 -3.998 3.952 -2.391 -0.229 -1.261 -2.177 0.960" Properties=species:S:1:pos:R:3 pbc="T T T"
Rh 1.345 -2.284 0.365
Rh 0.835 -1.417 -2.114
Rh -1.771 -1.309 -1.519
Co 0.000 0.000 0.000
```

Properties
- M_tot (μB per cell) = 2.83
- N(E_F) (states/eV per cell) = 6.1
- symmetry = No. 65
- total DFT energy (no corrections) (eV/atom) = -7.234

=====

Record 11
A plane-wave DFT calculation with PBE was carried out for an optimized crystal structure of Co2Rh.

extended XYZ file:
```
6
Lattice="2.088 -6.307 0.000 2.088 6.307 0.000 0.000 0.000 2.835" Properties=species:S:1:pos:R:3 pbc="T T T"
Co 0.000 0.000 0.000
Co 2.088 1.867 0.000
Co 2.088 -1.867 0.000
Co 2.088 0.000 1.418
Rh 2.088 -4.081 1.418
Rh 2.088 4.081 1.418
```

Properties
- M_tot (μB per cell) = 9.54
- N(E_F) (states/eV per cell) = 6.8
- symmetry = No. 65
- total DFT energy (no corrections) (eV/atom) = -7.071

=====

Record 12
A plane-wave DFT calculation with PBE was carried out for an optimized crystal structure of CoRh3.

extended XYZ file:
```
4
Lattice="2.699 0.000 0.000 0.000 2.699 0.000 0.000 0.000 7.383" Properties=species:S:1:pos:R:3 pbc="T T T"
Rh 1.350 1.350 1.758
Rh 1.350 1.350 5.625
Rh 0.000 0.000 3.691
Co 0.000 0.000 0.000
```

Properties
- M_tot (μB per cell) = 1.68
- N(E_F) (states/eV per cell) = 6.4
- symmetry = No. 123
- total DFT energy (no corrections) (eV/atom) = -7.245

=====

Record 13
A plane-wave DFT calculation with PBE was carried out for an optimized crystal structure of Co2Rh.

extended XYZ file:
```
6
Lattice="1.355 -2.180 0.000 1.355 2.180 0.000 0.000 0.000 12.715" Properties=species:S:1:pos:R:3 pbc="T T T"
Co 1.355 1.090 11.710
Co 1.355 1.090 2.994
Co 1.355 -1.090 9.721
Co 1.355 -1.090 1.004
Rh 1.355 1.090 7.552
Rh 1.355 -1.090 5.163
```

Properties
- M_tot (μB per cell) = 8.18
- N(E_F) (states/eV per cell) = 9.7
- symmetry = No. 67
- total DFT energy (no corrections) (eV/atom) = -6.971

=====

Record 14
A plane-wave DFT calculation with PBE was carried out for an optimized crystal structure of CoRh3.

extended XYZ file:
```
4
Lattice="-3.640 1.595 1.597 -2.511 -2.445 2.463 -0.326 0.807 4.194" Properties=species:S:1:pos:R:3 pbc="T T T"
Rh -1.619 -0.011 2.063
Rh -3.239 -0.022 4.127
Rh -4.858 -0.032 6.190
Co 0.000 0.000 0.000
```

Properties
- M_tot (μB per cell) = 3.32
- N(E_F) (states/eV per cell) = 6.0
- symmetry = No. 225
- total DFT energy (no corrections) (eV/atom) = -6.994

=====

Record 15
A plane-wave DFT calculation with PBE was carried out for an optimized crystal structure of Co2Rh3.

extended XYZ file:
```
5
Lattice="2.670 0.000 0.000 1.335 6.867 -0.001 0.000 -0.997 3.564" Properties=species:S:1:pos:R:3 pbc="T T T"
Co 1.335 0.727 2.125
Co 2.670 0.049 0.014
Rh 1.335 3.323 2.851
Rh 2.670 2.455 0.687
Rh 2.670 5.187 1.451
```

Properties
- energy above the most stable polymorph in this dataset (eV per atom) = 0.002
- M_tot (μB per cell) = 4.18
- N(E_F) (states/eV per cell) = 7.3
- symmetry = No. 71
- total DFT energy (no corrections) (eV/atom) = -7.194

=====

Record 16
A plane-wave DFT calculation with PBE was carried out for an optimized crystal structure of Co2Rh3.

extended XYZ file:
```
5
Lattice="9.284 0.004 0.004 0.385 2.650 0.000 0.385 -0.056 2.649" Properties=species:S:1:pos:R:3 pbc="T T T"
Rh 5.650 0.532 0.543
Rh 2.165 1.038 1.060
Rh 7.963 1.548 1.582
Co 4.305 2.080 2.124
Co 0.794 2.590 2.645
```

Properties
- energy above the most stable polymorph in this dataset (eV per atom) = 0.008
- M_tot (μB per cell) = 4.34
- N(E_F) (states/eV per cell) = 7.3
- symmetry = No. 139
- total DFT energy (no corrections) (eV/atom) = -7.188

=====

Record 17
A plane-wave DFT calculation with PBE was carried out for an optimized crystal structure of Co2Rh.

extended XYZ file:
```
6
Lattice="2.120 -6.413 0.000 2.120 6.413 0.000 0.000 0.000 2.736" Properties=species:S:1:pos:R:3 pbc="T T T"
Rh 2.120 5.169 2.052
Rh 2.120 -5.169 0.684
Co 2.120 2.970 0.684
Co 2.120 -2.970 2.052
Co 2.120 -0.956 0.684
Co 2.120 0.956 2.052
```

Properties
- M_tot (μB per cell) = 8.96
- N(E_F) (states/eV per cell) = 8.1
- symmetry = No. 63
- total DFT energy (no corrections) (eV/atom) = -7.069

=====

Record 18
A plane-wave DFT calculation with PBE was carried out for an optimized crystal structure of Co3Rh.

extended XYZ file:
```
4
Lattice="-4.065 -0.305 0.430 -1.593 -1.340 3.532 -2.001 2.596 2.461" Properties=species:S:1:pos:R:3 pbc="T T T"
Rh -1.915 0.238 1.606
Co -5.745 0.714 4.817
Co 0.000 0.000 0.000
Co -3.830 0.476 3.212
```

Properties
- M_tot (μB per cell) = 6.39
- N(E_F) (states/eV per cell) = 5.9
- symmetry = No. 225
- total DFT energy (no corrections) (eV/atom) = -7.016

=====

Record 19
A plane-wave DFT calculation with PBE was carried out for an optimized crystal structure of Co4Rh.

extended XYZ file:
```
5
Lattice="-0.189 -0.055 2.554 -5.784 -1.978 0.807 -0.045 -4.046 -0.090" Properties=species:S:1:pos:R:3 pbc="T T T"
Co -3.451 -1.996 0.470
Co -2.234 -4.035 0.516
Co -0.225 -4.090 1.949
Co -1.441 -2.051 1.903
Rh -4.730 -4.032 1.613
```

Properties
- energy above the most stable polymorph in this dataset (eV per atom) = 0.012
- M_tot (μB per cell) = 7.61
- N(E_F) (states/eV per cell) = 4.9
- symmetry = No. 71
- total DFT energy (no corrections) (eV/atom) = -7.103

=====

Record 20
A plane-wave DFT calculation with PBE was carried out for an optimized crystal structure of Co2Rh3.

extended XYZ file:
```
5
Lattice="2.684 0.000 0.000 -1.342 5.618 -0.001 -1.342 0.818 4.328" Properties=species:S:1:pos:R:3 pbc="T T T"
Rh -1.342 5.078 2.607
Rh 0.000 2.809 3.450
Rh 0.000 3.535 0.865
Co 1.342 1.418 1.680
Co 0.000 0.033 0.051
```

Properties
- energy above the most stable polymorph in this dataset (eV per atom) = 0.000
- M_tot (μB per cell) = 4.43
- N(E_F) (states/eV per cell) = 7.4
- symmetry = No. 12
- total DFT energy (no corrections) (eV/atom) = -7.196

=====

Record 21
A plane-wave DFT calculation with PBE was carried out for an optimized crystal structure of Co2Rh.

extended XYZ file:
```
24
Lattice="-1.196 4.542 0.290 -2.244 -3.196 2.626 10.289 1.991 11.218" Properties=species:S:1:pos:R:3 pbc="T T T"
Rh 7.136 3.643 10.534
Rh 0.940 0.182 1.025
Rh 9.349 1.810 10.194
Rh 1.642 0.068 5.704
Rh 5.207 3.270 8.431
Rh 6.084 1.178 6.634
Rh 4.205 0.814 4.585
Rh -0.287 -0.306 3.600
Co 1.207 3.788 3.473
Co -0.236 2.216 2.496
Co 4.559 0.632 8.884
Co -0.598 2.271 0.145
Co 4.022 -0.602 6.922
Co 3.424 1.669 7.067
Co 2.290 2.705 5.251
Co 5.027 1.887 10.811
Co -1.122 -1.598 1.313
Co 1.822 1.451 3.323
Co 7.085 1.121 11.638
Co -1.720 0.673 1.458
Co 4.547 3.267 5.754
Co 6.797 1.194 9.310
Co 0.052 2.143 4.824
Co 5.642 -0.451 10.662
```

Properties
- M_tot (μB per cell) = 36.57
- N(E_F) (states/eV per cell) = 24.7
- symmetry = No. 194
- total DFT energy (no corrections) (eV/atom) = -7.152

=====

Record 22
A plane-wave DFT calculation with PBE was carried out for an optimized crystal structure of Co3Rh.

extended XYZ file:
```
4
Lattice="4.438 -0.004 -0.007 3.671 2.495 -0.007 -8.920 -2.741 4.356" Properties=species:S:1:pos:R:3 pbc="T T T"
Co -6.690 -2.056 3.267
Co -4.438 -1.363 2.239
Co -0.834 -0.256 4.281
Rh -2.230 -0.685 1.089
```

Properties
- M_tot (μB per cell) = 6.15
- N(E_F) (states/eV per cell) = 6.4
- symmetry = No. 12
- total DFT energy (no corrections) (eV/atom) = -7.104

=====

Record 23
A plane-wave DFT calculation with PBE was carried out for an optimized crystal structure of Co2Rh.

extended XYZ file:
```
6
Lattice="-1.642 2.025 -0.146 -9.605 -7.645 1.969 -0.621 1.335 2.157" Properties=species:S:1:pos:R:3 pbc="T T T"
Co -7.912 -2.856 2.653
Co -3.109 0.966 1.669
Co -0.087 -0.069 0.018
Co -3.869 -1.359 1.309
Rh -4.772 -3.798 0.978
Rh -8.789 -5.275 2.318
```

Properties
- M_tot (μB per cell) = 3.27
- N(E_F) (states/eV per cell) = 8.0
- symmetry = No. 164
- total DFT energy (no corrections) (eV/atom) = -7.112

=====

Record 24
A plane-wave DFT calculation with PBE was carried out for an optimized crystal structure of Co5Rh2.

extended XYZ file:
```
14
Lattice="4.466 0.000 0.000 -2.233 5.660 -0.660 0.000 0.239 6.655" Properties=species:S:1:pos:R:3 pbc="T T T"
Co 3.733 0.060 1.664
Co 0.732 0.180 4.991
Co -0.772 3.401 4.155
Co -1.500 3.982 -0.231
Co 3.005 2.499 1.840
Co 1.500 4.102 3.096
Co 0.772 3.281 0.827
Co 0.733 1.798 2.898
Co 3.733 1.918 6.226
Co 1.461 2.619 5.168
Rh 3.007 0.995 3.937
Rh 1.458 0.875 0.609
Rh -0.775 4.905 2.058
Rh 0.775 5.025 5.386
```

Properties
- M_tot (μB per cell) = 20.39
- N(E_F) (states/eV per cell) = 16.8
- symmetry = No. 15
- total DFT energy (no corrections) (eV/atom) = -7.147

=====

Record 25
A plane-wave DFT calculation with PBE was carried out for an optimized crystal structure of Co2Rh3.

extended XYZ file:
```
5
Lattice="4.457 -2.127 0.002 4.457 2.127 0.002 3.441 0.000 3.543" Properties=species:S:1:pos:R:3 pbc="T T T"
Co 7.277 0.000 2.089
Co 5.079 0.000 1.458
Rh 0.000 0.000 0.000
Rh 2.655 0.000 0.762
Rh 9.701 0.000 2.785
```

Properties
- energy above the most stable polymorph in this dataset (eV per atom) = 0.138
- M_tot (μB per cell) = 6.84
- N(E_F) (states/eV per cell) = 8.3
- symmetry = No. 166
- total DFT energy (no corrections) (eV/atom) = -7.058

=====

Record 26
A plane-wave DFT calculation with PBE was carried out for an optimized crystal structure of Co2Rh3.

extended XYZ file:
```
5
Lattice="-1.660 1.755 -1.095 -0.546 -3.814 -5.282 -3.033 -2.484 0.616" Properties=species:S:1:pos:R:3 pbc="T T T"
Rh -2.729 -4.083 -4.333
Rh -2.262 -1.381 -3.922
Rh -3.169 -2.917 -1.800
Co -4.355 -1.095 -0.294
Co -2.656 -0.336 -1.653
```

Properties
- energy above the most stable polymorph in this dataset (eV per atom) = 0.014
- M_tot (μB per cell) = 4.87
- N(E_F) (states/eV per cell) = 7.4
- symmetry = No. 65
- total DFT energy (no corrections) (eV/atom) = -7.182